Record 1
! In2BMo PBE relaxed; values from VASP
! ΔH_f (0 K), eV per atom: 0.8158
! DFT total energy, eV/cell: -39.4
&SYSTEM
  ibrav = 0, nat = 8, ntyp = 3
/
ATOMIC_SPECIES
In 114.82 In.upf
B 10.81 B.upf
Mo 95.94 Mo.upf
ATOMIC_POSITIONS angstrom
In 6.219 1.094 -0.558
In 1.094 2.073 0.558
In -2.073 3.052 1.675
In 3.052 2.073 2.791
B 0.000 0.000 0.000
B 0.000 4.146 1.116
Mo 4.146 0.000 1.116
Mo 0.000 0.000 2.233
CELL_PARAMETERS angstrom
-4.146 4.146 2.233
4.146 -4.146 2.233
4.146 4.146 -2.233

Record 2
! InB3Mo PBE relaxed; values from VASP
! ΔH_f (0 K), eV per atom: 1.2312
! DFT total energy, eV/cell: -27.4
&SYSTEM
  ibrav = 0, nat = 5, ntyp = 3
/
ATOMIC_SPECIES
In 114.82 In.upf
B 10.81 B.upf
Mo 95.94 Mo.upf
ATOMIC_POSITIONS angstrom
In 0.000 0.000 0.000
B 0.000 2.128 2.128
B 2.128 0.000 2.128
B 2.128 2.128 0.000
Mo 2.128 2.128 2.128
CELL_PARAMETERS angstrom
4.256 0.000 0.000
0.000 4.256 0.000
0.000 0.000 4.256

Record 3
! InB2Mo2 PBE relaxed; values from VASP
! Relative energy among the computed polymorphs, meV/atom: 182
! ΔH_f (0 K), eV per atom: 0.2477
! DFT total energy, eV/cell: -36.5
&SYSTEM
  ibrav = 0, nat = 5, ntyp = 3
/
ATOMIC_SPECIES
In 114.82 In.upf
B 10.81 B.upf
Mo 95.94 Mo.upf
ATOMIC_POSITIONS angstrom
In 0.000 0.000 0.000
B 0.000 0.000 3.884
B 0.000 0.000 5.651
Mo 1.872 0.000 2.384
Mo 0.000 1.872 2.384
CELL_PARAMETERS angstrom
-1.872 1.872 4.768
1.872 -1.872 4.768
1.872 1.872 -4.768